Compound: ZrBeCrPt2
Source: Alexandria
Functional: GGA-PBEsol
Structure: optimized geometry

Structure (POSCAR):
```
ZrBeCrPt2
1.0
4.176 0.000 0.000
0.000 4.176 0.000
0.000 0.000 4.177
Zr Be Cr Pt
1 1 1 2
Cartesian
0.000 0.000 0.000
2.088 2.088 2.088
2.088 2.088 0.000
0.000 2.088 2.088
2.088 0.000 2.088
```

Calculated values
Formation enthalpy at 0 K   -1.16 eV per formula unit
Calculated density   12367 kg/m3
Space-group type   P4/mmm (123)



Compound: Al8Zn
Source: Alexandria
Functional: GGA-PBEsol
Structure: optimized geometry

Structure (POSCAR):
```
Al8Zn
1.0
-4.255 4.255 1.986
4.255 -4.255 1.986
4.255 4.255 -1.986
Al Zn
8 1
Cartesian
2.827 0.000 0.000
5.683 0.000 0.000
0.000 2.827 0.000
2.846 2.846 0.000
1.409 -1.409 1.986
-1.409 1.409 1.986
1.409 1.409 1.986
0.000 5.683 0.000
0.000 0.000 0.000
```

Calculated values
Formation enthalpy at 0 K   0.10 eV per formula unit
Calculated density   3247 kg/m3
Space-group type   I4/mmm (139)



Compound: Tl2AgAu
Source: Alexandria
Functional: GGA-PBEsol
Structure: optimized geometry

Structure (POSCAR):
```
Tl2AgAu
1.0
-1.587 2.547 5.397
1.587 -2.547 5.397
1.587 2.547 -5.397
Tl Ag Au
2 1 1
Cartesian
0.000 0.000 0.000
0.000 2.547 2.267
1.587 0.000 2.702
0.000 0.000 4.992
```

Calculated values
Formation enthalpy at 0 K   0.37 eV per formula unit
Calculated density   13581 kg/m3
Space-group type   Imm2 (44)
Offset from the most stable computed form   52 meV/atom



- What is the formation enthalpy at 0 K in the first record?
  -1.16 eV per formula unit